Zr2CuSi2 | PBE | relaxed

Unit cell a=6.4988 b=6.4988 c=3.9804 alpha=90.00 beta=90.00 gamma=90.00
Atoms (fractional coordinates):
Si 0.3719 0.8719 0.0000
Si 0.8719 0.6281 0.0000
Si 0.6281 0.1281 0.0000
Si 0.1281 0.3719 0.0000
Cu 0.0000 0.0000 0.0000
Cu 0.5000 0.5000 0.0000
Zr 0.1773 0.6773 0.5000
Zr 0.6773 0.8227 0.5000
Zr 0.8227 0.3227 0.5000
Zr 0.3227 0.1773 0.5000

Summary:
energy relative to the elements, uncorrected	-0.677	eV per atom

=====

PmPr2HoP4 | PBE | relaxed

Unit cell a=4.1357 b=7.1568 c=7.1560 alpha=109.46 beta=90.00 gamma=90.00
Atoms (fractional coordinates):
Pm 0.0000 0.0000 0.0000
Pr 0.5000 0.0000 0.5000
Pr 0.0000 0.5000 0.5000
Ho 0.5000 0.5000 0.0000
P 0.5000 0.2516 0.2428
P 0.5000 0.7484 0.7572
P 0.0000 0.2572 0.7599
P 0.0000 0.7428 0.2401

Summary:
total energy	-6.61	eV/atom

=====

Cs4InHg5 | PBE | relaxed

Unit cell a=5.7503 b=9.3949 c=9.3949 alpha=84.63 beta=72.18 gamma=72.18
Atoms (fractional coordinates):
Cs 0.7531 0.7193 0.7193
Cs 0.4725 0.2807 0.7193
Cs 0.4725 0.7193 0.2807
Cs 0.1918 0.2807 0.2807
In 0.0848 0.0000 0.0000
Hg 0.1672 0.6251 0.0000
Hg 0.1672 0.0000 0.6251
Hg 0.7923 0.0000 0.3749
Hg 0.7923 0.3749 0.0000
Hg 0.5962 0.0000 0.0000

Summary:
total energy	-0.96	eV/atom

=====

Ac2PtO4F | PBE | relaxed

Unit cell a=3.7569 b=5.0903 c=7.2407 alpha=68.94 beta=74.96 gamma=68.34
Atoms (fractional coordinates):
Ac 0.8127 0.6588 0.7159
Ac 0.1873 0.3412 0.2841
Pt 0.0000 0.0000 0.0000
O 0.1435 0.0153 0.6977
O 0.3865 0.2849 0.9420
O 0.8565 0.9847 0.3023
O 0.6135 0.7151 0.0580
F 0.5000 0.5000 0.5000

Summary:
energy relative to the elements, uncorrected	-2.463	eV per atom

=====

MnAsS2 | PBE | relaxed

Unit cell a=3.2131 b=5.7312 c=8.0832 alpha=104.56 beta=101.46 gamma=90.00
Atoms (fractional coordinates):
Mn 0.5425 0.9187 0.5709
Mn 0.0425 0.4187 0.5709
As 0.0424 0.9187 0.0709
As 0.0424 0.4187 0.0709
S 0.1185 0.8094 0.7448
S 0.9664 0.0281 0.3969
S 0.4446 0.5281 0.3969
S 0.6404 0.3094 0.7448

Summary:
energy relative to the elements, uncorrected	-0.258	eV per atom

=====

Ho2Zn12Cu3Ag | PBE | relaxed

Unit cell a=6.7408 b=6.7408 c=6.7408 alpha=85.75 beta=85.75 gamma=85.75
Atoms (fractional coordinates):
Ho 0.7503 0.7503 0.7503
Ho 0.2497 0.2497 0.2497
Zn 0.4288 0.4288 0.8456
Zn 0.8008 0.8008 0.2895
Zn 0.2895 0.8008 0.8008
Zn 0.8456 0.4288 0.4288
Zn 0.8008 0.2895 0.8008
Zn 0.4288 0.8456 0.4288
Zn 0.5712 0.5712 0.1544
Zn 0.1992 0.1992 0.7105
Zn 0.7105 0.1992 0.1992
Zn 0.1544 0.5712 0.5712
Zn 0.1992 0.7105 0.1992
Zn 0.5712 0.1544 0.5712
Cu 0.5000 0.0000 0.0000
Cu 0.0000 0.5000 0.0000
Cu 0.0000 0.0000 0.5000
Ag 0.0000 0.0000 0.0000

Summary:
total energy	-2.22	eV/atom